(1)
This record from Alexandria describes a geometry-optimized Sc5In4Co structure. The functional is PBE-GGA.

Lattice parameters (Å, degrees): 3.2219 3.2219 20.2667 90.00 90.00 90.00
Space group P4/mmm (No. 123)
Asymmetric unit:
Sc 0.0000 0.0000 0.0000 (multiplicity 1)
Sc 0.0000 0.0000 0.2125 (multiplicity 2)
Sc 0.0000 0.0000 0.4256 (multiplicity 2)
In 0.5000 0.5000 0.1061 (multiplicity 2)
In 0.5000 0.5000 0.3175 (multiplicity 2)
Co 0.5000 0.5000 0.5000 (multiplicity 1)

The value obtained for the uncorrected energy is -54.0 eV for the cell shown.



(2)
This record from Alexandria describes a geometry-optimized Al3C structure. The functional is PBE-GGA.

Lattice parameters (Å, degrees): 3.6460 3.6460 8.1169 90.00 90.00 90.00
Space group I4/mmm (No. 139)
Asymmetric unit:
Al 0.0000 0.0000 0.0000 (multiplicity 2)
Al 0.0000 0.5000 0.2500 (multiplicity 4)
C 0.0000 0.0000 0.5000 (multiplicity 2)

The value obtained for the uncorrected energy is -33.1 eV for the cell shown. The calculation puts the excess energy over the best structure of this formula in the dataset at 948 meV per atom.



(3)
This record from Alexandria describes a geometry-optimized KBeSnN2 structure. The functional is PBE-GGA.

Lattice parameters (Å, degrees): 4.7464 4.7464 5.1789 90.00 90.00 90.00
Space group P4/mmm (No. 123)
Asymmetric unit:
K 0.0000 0.0000 0.0000 (multiplicity 1)
Be 0.0000 0.0000 0.5000 (multiplicity 1)
Sn 0.5000 0.5000 0.5000 (multiplicity 1)
N 0.0000 0.5000 0.0000 (multiplicity 2)

The value obtained for the formation energy from raw total energies is 2.454 eV/atom. The value obtained for the uncorrected energy is -13.2 eV for the cell shown.



(4)
This record from Alexandria describes a geometry-optimized MnGeSN structure. The functional is PBE-GGA.

Lattice parameters (Å, degrees): 3.1127 3.1127 23.0124 90.00 90.00 120.00
Space group R3m (No. 160, hexagonal axes)
Asymmetric unit:
Mn 0.0000 0.0000 0.0000 (multiplicity 3)
Ge 0.0000 0.0000 0.7540 (multiplicity 3)
S 0.0000 0.0000 0.4843 (multiplicity 3)
N 0.0000 0.0000 0.3120 (multiplicity 3)

The value obtained for the formation energy from raw total energies is 0.061 eV/atom. The value obtained for the uncorrected energy is -78.0 eV for the cell shown. The calculation puts the excess energy over the best structure of this formula in the dataset at 186 meV per atom.



(5)
This record from Alexandria describes a geometry-optimized MgWAu3 structure. The functional is PBE-GGA.

Lattice parameters (Å, degrees): 4.6506 4.6506 4.6506 90.00 90.00 90.00
Space group Pm-3m (No. 221)
Asymmetric unit:
Mg 0.0000 0.0000 0.0000 (multiplicity 1)
W 0.5000 0.5000 0.5000 (multiplicity 1)
Au 0.0000 0.0000 0.5000 (multiplicity 3)

The value obtained for the uncorrected energy is -17.8 eV for the cell shown. The calculation puts the excess energy over the best structure of this formula in the dataset at 382 meV per atom.



(6)
This record from Alexandria describes a geometry-optimized MgPaS6 structure. The functional is PBE-GGA.

Lattice parameters (Å, degrees): 10.1570 10.1570 10.1570 90.00 90.00 90.00
Space group Fm-3m (No. 225)
Asymmetric unit:
Mg 0.0000 0.0000 0.0000 (multiplicity 4)
Pa 0.0000 0.0000 0.5000 (multiplicity 4)
S 0.0000 0.0000 0.2467 (multiplicity 24)

The value obtained for the formation energy from raw total energies is -0.277 eV/atom. The value obtained for the uncorrected energy is -152.3 eV for the cell shown.



(7)
This record from Alexandria describes a geometry-optimized La2TbDyHo structure. The functional is PBE-GGA.

Lattice parameters (Å, degrees): 6.4354 7.8688 6.7850 90.00 90.00 90.00
Space group Pmma (No. 51)
Asymmetric unit:
La 0.2500 0.2012 0.2091 (multiplicity 4)
Tb 0.2500 0.0000 0.6840 (multiplicity 2)
Dy 0.2500 0.5000 0.9070 (multiplicity 2)
Ho 0.0000 0.5000 0.5000 (multiplicity 2)

The value obtained for the uncorrected energy is -44.9 eV for the cell shown.



(8)
This record from Alexandria describes a geometry-optimized Rb4Cd3SnCl12 structure. The functional is PBE-GGA.

Lattice parameters (Å, degrees): 10.7162 10.7162 10.7162 90.00 90.00 90.00
Space group Im-3m (No. 229)
Asymmetric unit:
Rb 0.2500 0.2500 0.2500 (multiplicity 8)
Cd 0.0000 0.0000 0.5000 (multiplicity 6)
Sn 0.0000 0.0000 0.0000 (multiplicity 2)
Cl 0.0000 0.0000 0.2573 (multiplicity 12)
Cl 0.0000 0.2500 0.5000 (multiplicity 12)

The value obtained for the formation energy from raw total energies is -1.431 eV/atom. The value obtained for the uncorrected energy is -122.8 eV for the cell shown.



(9)
This record from Alexandria describes a geometry-optimized YBNO2 structure. The functional is PBE-GGA.

Lattice parameters (Å, degrees): 4.3860 4.3860 4.6927 90.00 90.00 90.00
Space group P4/mmm (No. 123)
Asymmetric unit:
Y 0.0000 0.0000 0.0000 (multiplicity 1)
B 0.5000 0.5000 0.5000 (multiplicity 1)
N 0.0000 0.0000 0.5000 (multiplicity 1)
O 0.0000 0.5000 0.0000 (multiplicity 2)

The value obtained for the formation energy from raw total energies is 0.548 eV/atom. The value obtained for the uncorrected energy is -28.6 eV for the cell shown.



(10)
This record from Alexandria describes a geometry-optimized Ce5MgSe8 structure. The functional is PBE-GGA.

Lattice parameters (Å, degrees): 8.7879 8.7879 9.0710 90.00 90.00 90.00
Space group I-4 (No. 82)
Asymmetric unit:
Ce 0.0000 0.0000 0.0000 (multiplicity 2)
Ce 0.1241 0.7488 0.6192 (multiplicity 8)
Mg 0.0000 0.5000 0.2500 (multiplicity 2)
Se 0.0662 0.8106 0.2929 (multiplicity 8)
Se 0.0796 0.6794 0.9397 (multiplicity 8)

The value obtained for the formation energy from raw total energies is -1.714 eV/atom. The value obtained for the uncorrected energy is -166.3 eV for the cell shown.



(11)
This record from Alexandria describes a geometry-optimized Sb2Rh structure. The functional is PBE-GGA.

Lattice parameters (Å, degrees): 8.3766 8.3766 8.3766 90.00 90.00 90.00
Space group Fd-3m (No. 227, origin choice 2)
Asymmetric unit:
Sb 0.0000 0.0000 0.0000 (multiplicity 16)
Rh 0.1250 0.1250 0.6250 (multiplicity 8)

The value obtained for the formation energy from raw total energies is 0.901 eV/atom. The value obtained for the uncorrected energy is -103.1 eV for the cell shown.



(12)
This record from Alexandria describes a geometry-optimized LiY2HfN structure. The functional is PBE-GGA.

Lattice parameters (Å, degrees): 4.9669 4.9669 4.3023 90.00 90.00 90.00
Space group P4/mmm (No. 123)
Asymmetric unit:
Li 0.0000 0.0000 0.0000 (multiplicity 1)
Y 0.0000 0.5000 0.5000 (multiplicity 2)
Hf 0.5000 0.5000 0.0000 (multiplicity 1)
N 0.5000 0.5000 0.5000 (multiplicity 1)

The value obtained for the formation energy from raw total energies is -0.547 eV/atom. The value obtained for the uncorrected energy is -35.9 eV for the cell shown.



Number 1: total magnetic moment 1.7 μB per formula unit. Number 2: total magnetic moment 0.0 μB per formula unit. Number 3: total magnetic moment 3.3 μB per formula unit. Number 4: total magnetic moment 0.0 μB per formula unit. Number 5: total magnetic moment 0.0 μB per formula unit. Number 6: total magnetic moment 0.0 μB per formula unit. Number 7: total magnetic moment 0.0 μB per formula unit. Number 8: total magnetic moment 0.0 μB per formula unit. Number 9: total magnetic moment 3.0 μB per formula unit. Number 10: total magnetic moment 6.0 μB per formula unit. Number 11: total magnetic moment 0.0 μB per formula unit. Number 12: total magnetic moment 0.0 μB per formula unit.